# Na3CaTh2Te6, relaxed, DFT PBE
# * space group: C2/m (12)
# * crystal system: monoclinic
# * total magnetization: 0.0 μB per formula unit
data_Na3CaTh2Te6
_symmetry_space_group_name_H-M 'P 1'
_symmetry_Int_Tables_number 1
_symmetry_space_group_name_Hall 'P 1'
_cell_length_a 10.235
_cell_length_b 10.235
_cell_length_c 9.280
_cell_angle_alpha 104.59
_cell_angle_beta 104.59
_cell_angle_gamma 25.26
loop_
_atom_site_label
_atom_site_type_symbol
_atom_site_fract_x
_atom_site_fract_y
_atom_site_fract_z
Na1 Na 0.000 0.000 0.000
Na2 Na 0.337 0.337 0.663
Na3 Na 0.663 0.663 0.337
Ca1 Ca 0.000 0.000 0.500
Th1 Th 0.335 0.335 0.167
Th2 Th 0.665 0.665 0.833
Te1 Te 0.167 0.167 0.593
Te2 Te 0.170 0.170 0.081
Te3 Te 0.496 0.496 0.252
Te4 Te 0.504 0.504 0.748
Te5 Te 0.830 0.830 0.919
Te6 Te 0.833 0.833 0.407

***

# NaCa3Tm2Te6, relaxed, DFT PBE
# * space group: C2/m (12)
# * crystal system: monoclinic
# * total magnetization: 0.0 μB per formula unit
data_NaCa3Tm2Te6
_symmetry_space_group_name_H-M 'P 1'
_symmetry_Int_Tables_number 1
_symmetry_space_group_name_Hall 'P 1'
_cell_length_a 7.697
_cell_length_b 7.697
_cell_length_c 7.686
_cell_angle_alpha 99.63
_cell_angle_beta 99.63
_cell_angle_gamma 119.94
loop_
_atom_site_label
_atom_site_type_symbol
_atom_site_fract_x
_atom_site_fract_y
_atom_site_fract_z
Na1 Na 0.000 0.000 0.000
Ca1 Ca 0.163 0.837 0.500
Ca2 Ca 0.500 0.500 0.500
Ca3 Ca 0.837 0.163 0.500
Tm1 Tm 0.332 0.668 0.000
Tm2 Tm 0.668 0.332 0.000
Te1 Te 0.081 0.424 0.242
Te2 Te 0.262 0.262 0.760
Te3 Te 0.424 0.081 0.242
Te4 Te 0.576 0.919 0.758
Te5 Te 0.738 0.738 0.240
Te6 Te 0.919 0.576 0.758

***

# Na2CaUTe4, relaxed, DFT PBE
# * space group: P2/m (10)
# * crystal system: monoclinic
# * total magnetization: 2.0 μB per formula unit
data_Na2CaUTe4
_symmetry_space_group_name_H-M 'P 1'
_symmetry_Int_Tables_number 1
_symmetry_space_group_name_Hall 'P 1'
_cell_length_a 7.776
_cell_length_b 4.510
_cell_length_c 7.904
_cell_angle_alpha 90.00
_cell_angle_beta 108.88
_cell_angle_gamma 90.00
loop_
_atom_site_label
_atom_site_type_symbol
_atom_site_fract_x
_atom_site_fract_y
_atom_site_fract_z
Na1 Na 0.000 0.000 0.000
Na2 Na 0.500 0.500 0.000
Ca1 Ca 0.000 0.500 0.500
U1 U 0.500 0.000 0.500
Te1 Te 0.256 0.000 0.734
Te2 Te 0.265 0.500 0.268
Te3 Te 0.735 0.500 0.732
Te4 Te 0.744 0.000 0.266

***

Number 1: formation energy without anion corrections -1.20 eV/atom. Number 2: formation energy without anion corrections -1.44 eV/atom. Number 3: formation energy without anion corrections -1.03 eV/atom.